Entry 1:
A plane-wave DFT calculation with GGA-PBE was carried out for Cs2Sn5Bi after structural relaxation.

Cell and atoms, written as POSCAR:
```
Cs2Sn5Bi
1.0
15.6145 0.0000 0.0000
0.0000 6.7118 0.0000
-3.2939 0.0000 6.3816
Cs Sn Bi
4 10 2
Cartesian
0.0000 0.0000 0.0000 Cs
-1.5731 3.3559 3.2333 Cs
7.8072 3.3559 0.0000 Cs
6.2341 0.0000 3.2333 Cs
1.7894 3.3559 0.9257 Sn
2.1136 1.4831 3.4375 Sn
2.1136 5.2287 3.4375 Sn
0.7347 1.4830 6.1250 Sn
0.7347 5.2288 6.1250 Sn
9.5967 0.0000 0.9257 Sn
9.9208 1.8728 3.4375 Sn
9.9208 4.8390 3.4375 Sn
8.5420 1.8729 6.1250 Sn
8.5420 4.8389 6.1250 Sn
4.4650 3.3559 2.3179 Bi
12.2722 0.0000 2.3179 Bi
```

Computed properties:
**ΔH_f (0 K)**: -0.1102 eV per atom
**Fermi-level density of states**: 0.433 states/eV/atom
**SG**: Cm (8)

=====

Entry 2:
A plane-wave DFT calculation with GGA-PBE was carried out for Cs3Sn2Bi5 after structural relaxation.

Cell and atoms, written as POSCAR:
```
Cs3Sn2Bi5
1.0
-5.4922 9.3931 4.2055
5.4922 -9.3931 4.2055
5.4922 9.3931 -4.2055
Cs Sn Bi
6 4 10
Cartesian
8.1413 2.6342 0.0000 Cs
0.0000 0.0000 2.1028 Cs
2.6492 6.7589 0.0000 Cs
2.8430 2.6342 4.2055 Cs
0.0000 0.0000 6.3083 Cs
-2.6492 6.7589 4.2055 Cs
1.1358 2.8628 0.0000 Sn
6.6280 6.5303 0.0000 Sn
-1.1358 2.8628 4.2055 Sn
4.3563 6.5303 4.2055 Sn
5.4922 -4.6126 2.1028 Bi
4.1909 2.3319 0.0000 Bi
5.4922 0.0000 2.1028 Bi
4.1909 -2.3319 4.2055 Bi
5.4922 4.6126 2.1028 Bi
0.0000 4.7805 2.1028 Bi
1.3013 11.7250 0.0000 Bi
0.0000 9.3931 2.1028 Bi
1.3013 7.0612 4.2055 Bi
0.0000 14.0057 2.1028 Bi
```

Computed properties:
**ΔH_f (0 K)**: -0.1691 eV per atom
**Fermi-level density of states**: 0.416 states/eV/atom
**SG**: Ibam (72)